KP2WO: optimized geometry, PBE+U.

Cell: 5.0709 5.0709 4.3026 Å, 90.00 90.00 90.00°
Fractional coordinates of all 5 atoms:
K1 0.0000 0.0000 0.0000
P1 0.0000 0.5000 0.0000
P2 0.5000 0.0000 0.0000
W1 0.5000 0.5000 0.5000
O1 0.0000 0.0000 0.5000

Properties
**ΔE to the lowest computed polymorph**: 1032 kJ/mol of formula units
**E_tot**: -0.218 Ry per atom
**Density**: 4.52 Mg/m³